A plane-wave DFT calculation with GGA+U was carried out for a geometry-optimized K2PuFe2O6 structure.

Values from the calculation:
**Total magnetic moment**: 10.0 μB per formula unit
**Symmetry**: C2/m (12)
**VASP energy**: -78.532 eV per formula unit

a b c (Å): 5.6471 5.6471 6.5748
angles (deg): 98.21 98.21 121.90
Site moments in Bohr magnetons follow the coordinates.
Fractional positions:
K (0.8257, 0.1743, 0.0000)  0.00
K (0.1743, 0.8257, 0.0000)  0.00
Pu (0.0000, 0.0000, 0.5000)  2.59
Fe (0.3288, 0.6712, 0.5000)  3.73
Fe (0.6712, 0.3288, 0.5000)  3.73
O (0.7622, 0.7622, 0.6803)  -0.05
O (0.0748, 0.3959, 0.6737)  -0.01
O (0.2378, 0.2378, 0.3197)  -0.05
O (0.3959, 0.0748, 0.6737)  -0.01
O (0.9252, 0.6041, 0.3263)  -0.01
O (0.6041, 0.9252, 0.3263)  -0.01